(1)
This record from Alexandria describes an optimized crystal structure of CeTmZr. The functional is PBE-GGA.

Geometry as CIF:
```
data_CeTmZr
_cell_length_a 3.9018
_cell_length_b 3.9018
_cell_length_c 10.8495
_cell_angle_alpha 90.00
_cell_angle_beta 90.00
_cell_angle_gamma 90.00
_symmetry_space_group_name_H-M 'P 1'
_symmetry_Int_Tables_number 1
_symmetry_space_group_name_Hall 'P 1'
loop_
_atom_site_label
_atom_site_type_symbol
_atom_site_fract_x
_atom_site_fract_y
_atom_site_fract_z
Tm1 Tm 0.0000 0.5000 0.5940
Tm2 Tm 0.5000 0.0000 0.4060
Ce1 Ce 0.5000 0.0000 0.7751
Ce2 Ce 0.0000 0.5000 0.2249
Zr1 Zr 0.0000 0.5000 0.9369
Zr2 Zr 0.5000 0.0000 0.0631
```

Output
Offset from the most stable computed form (meV per atom): 80
Space-group type: No. 129
Spin magnetization (μB/cell): 1.286



(2)
This record from Alexandria describes an optimized crystal structure of CeTm14Zr. The functional is PBE-GGA.

Geometry as CIF:
```
data_CeTm14Zr
_cell_length_a 7.0756
_cell_length_b 7.0756
_cell_length_c 11.0231
_cell_angle_alpha 90.00
_cell_angle_beta 90.00
_cell_angle_gamma 120.14
_symmetry_space_group_name_H-M 'P 1'
_symmetry_Int_Tables_number 1
_symmetry_space_group_name_Hall 'P 1'
loop_
_atom_site_label
_atom_site_type_symbol
_atom_site_fract_x
_atom_site_fract_y
_atom_site_fract_z
Ce1 Ce 0.8336 0.1664 0.0000
Tm1 Tm 0.3327 0.6673 0.5000
Tm2 Tm 0.8331 0.1669 0.5000
Tm3 Tm 0.8308 0.6642 0.0000
Tm4 Tm 0.8336 0.6677 0.5000
Tm5 Tm 0.3358 0.1692 0.0000
Tm6 Tm 0.3323 0.1664 0.5000
Tm7 Tm 0.6630 0.8333 0.7538
Tm8 Tm 0.6630 0.8333 0.2462
Tm9 Tm 0.1667 0.3370 0.7538
Tm10 Tm 0.1667 0.3370 0.2462
Tm11 Tm 0.1692 0.8308 0.7550
Tm12 Tm 0.1692 0.8308 0.2450
Tm13 Tm 0.6671 0.3329 0.7470
Tm14 Tm 0.6671 0.3329 0.2530
Zr1 Zr 0.3360 0.6640 0.0000
```

Output
Space-group type: No. 38
Spin magnetization (μB/cell): 0.511



(3)
This record from Alexandria describes an optimized crystal structure of CeTmZr. The functional is PBE-GGA.

Geometry as CIF:
```
data_CeTmZr
_cell_length_a 3.3747
_cell_length_b 5.2384
_cell_length_c 5.2384
_cell_angle_alpha 120.00
_cell_angle_beta 90.00
_cell_angle_gamma 90.00
_symmetry_space_group_name_H-M 'P 1'
_symmetry_Int_Tables_number 1
_symmetry_space_group_name_Hall 'P 1'
loop_
_atom_site_label
_atom_site_type_symbol
_atom_site_fract_x
_atom_site_fract_y
_atom_site_fract_z
Tm1 Tm 0.6664 0.6667 0.3333
Zr1 Zr 0.1670 0.3333 0.6667
Ce1 Ce 0.1665 0.0000 0.0000
```

Output
Offset from the most stable computed form (meV per atom): 0
Space-group type: No. 187
Spin magnetization (μB/cell): 0.000



(4)
This record from Alexandria describes an optimized crystal structure of CeTmZr. The functional is PBE-GGA.

Geometry as CIF:
```
data_CeTmZr
_cell_length_a 3.2927
_cell_length_b 3.2927
_cell_length_c 7.8433
_cell_angle_alpha 102.12
_cell_angle_beta 102.12
_cell_angle_gamma 90.00
_symmetry_space_group_name_H-M 'P 1'
_symmetry_Int_Tables_number 1
_symmetry_space_group_name_Hall 'P 1'
loop_
_atom_site_label
_atom_site_type_symbol
_atom_site_fract_x
_atom_site_fract_y
_atom_site_fract_z
Tm1 Tm 0.9919 0.9919 0.9838
Zr1 Zr 0.3346 0.3346 0.6693
Ce1 Ce 0.6735 0.6735 0.3469
```

Output
Offset from the most stable computed form (meV per atom): 35
Space-group type: No. 107
Spin magnetization (μB/cell): 0.534



(5)
This record from Alexandria describes an optimized crystal structure of Ce5Tm12Zr3. The functional is PBE-GGA.

Geometry as CIF:
```
data_Ce5Tm12Zr3
_cell_length_a 15.3751
_cell_length_b 15.3751
_cell_length_c 15.3751
_cell_angle_alpha 109.47
_cell_angle_beta 109.47
_cell_angle_gamma 109.47
_symmetry_space_group_name_H-M 'P 1'
_symmetry_Int_Tables_number 1
_symmetry_space_group_name_Hall 'P 1'
loop_
_atom_site_label
_atom_site_type_symbol
_atom_site_fract_x
_atom_site_fract_y
_atom_site_fract_z
Zr1 Zr 0.7500 0.3750 0.1250
Zr2 Zr 0.8750 0.7500 0.1250
Zr3 Zr 0.3750 0.7500 0.6250
Zr4 Zr 0.2500 0.1250 0.3750
Zr5 Zr 0.8750 0.1250 0.2500
Zr6 Zr 0.3750 0.6250 0.2500
Zr7 Zr 0.6250 0.3750 0.7500
Zr8 Zr 0.1250 0.8750 0.7500
Zr9 Zr 0.7500 0.8750 0.6250
Zr10 Zr 0.6250 0.2500 0.3750
Zr11 Zr 0.1250 0.2500 0.8750
Zr12 Zr 0.2500 0.6250 0.8750
Ce1 Ce 0.1250 0.3750 0.2500
Ce2 Ce 0.0000 0.5000 0.0000
Ce3 Ce 0.0000 0.0000 0.0000
Ce4 Ce 0.3750 0.2500 0.1250
Ce5 Ce 0.5000 0.0000 0.5000
Ce6 Ce 0.5000 0.5000 0.0000
Ce7 Ce 0.1250 0.7500 0.3750
Ce8 Ce 0.7500 0.1250 0.8750
Ce9 Ce 0.7500 0.6250 0.3750
Ce10 Ce 0.3750 0.1250 0.7500
Ce11 Ce 0.6250 0.8750 0.2500
Ce12 Ce 0.5000 0.5000 0.5000
Ce13 Ce 0.5000 0.0000 0.0000
Ce14 Ce 0.0000 0.0000 0.5000
Ce15 Ce 0.2500 0.3750 0.6250
Ce16 Ce 0.2500 0.8750 0.1250
Ce17 Ce 0.0000 0.5000 0.5000
Ce18 Ce 0.8750 0.2500 0.6250
Ce19 Ce 0.6250 0.7500 0.8750
Ce20 Ce 0.8750 0.6250 0.7500
Tm1 Tm 0.7329 0.1388 0.0731
Tm2 Tm 0.3402 0.5731 0.4343
Tm3 Tm 0.9269 0.3612 0.2671
Tm4 Tm 0.5731 0.2329 0.1388
Tm5 Tm 0.5941 0.7329 0.6598
Tm6 Tm 0.9269 0.5657 0.1598
Tm7 Tm 0.3402 0.7671 0.4059
Tm8 Tm 0.0657 0.9059 0.1388
Tm9 Tm 0.5657 0.9269 0.6598
Tm10 Tm 0.7329 0.5941 0.1598
Tm11 Tm 0.7671 0.4269 0.3612
Tm12 Tm 0.8402 0.9343 0.0731
Tm13 Tm 0.1388 0.7329 0.5731
Tm14 Tm 0.3612 0.4343 0.0941
Tm15 Tm 0.0941 0.9343 0.3612
Tm16 Tm 0.4059 0.1388 0.5657
Tm17 Tm 0.0941 0.1598 0.2329
Tm18 Tm 0.4269 0.6598 0.0657
Tm19 Tm 0.8402 0.9059 0.2671
Tm20 Tm 0.1388 0.4059 0.0657
Tm21 Tm 0.3612 0.9269 0.7671
Tm22 Tm 0.5657 0.6388 0.4059
Tm23 Tm 0.9343 0.8402 0.5731
Tm24 Tm 0.7671 0.3402 0.9059
Tm25 Tm 0.4343 0.3612 0.5941
Tm26 Tm 0.0657 0.1598 0.4269
Tm27 Tm 0.2329 0.6598 0.0941
Tm28 Tm 0.1598 0.0941 0.7329
Tm29 Tm 0.6388 0.0731 0.2329
Tm30 Tm 0.8612 0.5941 0.9343
Tm31 Tm 0.5731 0.3402 0.9343
Tm32 Tm 0.5941 0.8612 0.4343
Tm33 Tm 0.9059 0.8402 0.7671
Tm34 Tm 0.9059 0.0657 0.6388
Tm35 Tm 0.8612 0.2671 0.4269
Tm36 Tm 0.1598 0.0657 0.9269
Tm37 Tm 0.6388 0.5657 0.9059
Tm38 Tm 0.4343 0.0731 0.3402
Tm39 Tm 0.2671 0.4059 0.8402
Tm40 Tm 0.2329 0.5731 0.6388
Tm41 Tm 0.9343 0.0941 0.8612
Tm42 Tm 0.6598 0.2329 0.5941
Tm43 Tm 0.4269 0.7671 0.8612
Tm44 Tm 0.0731 0.4343 0.8402
Tm45 Tm 0.4059 0.2671 0.3402
Tm46 Tm 0.0731 0.6388 0.7329
Tm47 Tm 0.6598 0.4269 0.5657
Tm48 Tm 0.2671 0.8612 0.9269
```

Output
Space-group type: No. 230
Spin magnetization (μB/cell): 36.868



(6)
This record from Alexandria describes an optimized crystal structure of CeU6. The functional is PBE-GGA.

Geometry as CIF:
```
data_CeU6
_cell_length_a 6.1835
_cell_length_b 6.1835
_cell_length_c 6.1835
_cell_angle_alpha 109.47
_cell_angle_beta 109.47
_cell_angle_gamma 109.47
_symmetry_space_group_name_H-M 'P 1'
_symmetry_Int_Tables_number 1
_symmetry_space_group_name_Hall 'P 1'
loop_
_atom_site_label
_atom_site_type_symbol
_atom_site_fract_x
_atom_site_fract_y
_atom_site_fract_z
Ce1 Ce 0.0000 0.0000 0.0000
U1 U 0.2500 0.7500 0.5000
U2 U 0.5000 0.7500 0.2500
U3 U 0.2500 0.5000 0.7500
U4 U 0.7500 0.2500 0.5000
U5 U 0.5000 0.2500 0.7500
U6 U 0.7500 0.5000 0.2500
```

Output
Space-group type: No. 229
Spin magnetization (μB/cell): 1.020



| no. | E (eV per atom) |
| --- | --- |
| 1 | -6.173 |
| 2 | -4.792 |
| 3 | -6.254 |
| 4 | -6.219 |
| 5 | -4.365 |
| 6 | -9.710 |